1.
Compound: Ac14TmSc
Source: Alexandria
Functional: PBE
Structure: optimized geometry

Values from the calculation:
SG   Amm2
Total magnetic moment   0.000 μB per atom

Geometry as POSCAR:
```
Ac14TmSc
1.0
11.144 0.000 0.000
0.000 5.533 5.534
0.000 -5.533 5.534
Ac Tm Sc
14 1 1
Cartesian
0.000 0.000 11.065 Ac
0.000 2.763 8.300 Ac
0.000 -2.763 8.300 Ac
0.000 0.000 5.534 Ac
2.876 0.000 2.751 Ac
2.882 -2.782 5.533 Ac
2.882 2.782 5.533 Ac
2.886 0.000 8.315 Ac
5.572 -2.762 2.765 Ac
5.572 2.762 2.765 Ac
8.262 -2.782 5.533 Ac
8.262 2.782 5.533 Ac
8.258 0.000 8.315 Ac
8.268 0.000 2.751 Ac
5.572 0.000 5.532 Tm
5.572 0.000 0.001 Sc
```

2.
Compound: AcTmSc2
Source: Alexandria
Functional: PBE
Structure: optimized geometry

Values from the calculation:
SG   P4/mmm
Total magnetic moment   0.000 μB per atom

Geometry as POSCAR:
```
AcTmSc2
1.0
5.209 0.000 0.000
0.000 5.209 0.000
0.000 0.000 4.444
Ac Tm Sc
1 1 2
Cartesian
0.000 0.000 0.000 Ac
2.604 2.604 0.000 Tm
0.000 2.604 2.222 Sc
2.604 0.000 2.222 Sc
```

no.,calculated formation energy (eV per atom),DOS at the Fermi energy (states/eV per cell),electronic total energy (eV/atom)
1,0.047,25.145,-4.223
2,0.113,6.036,-5.198